CaZn2Ir2 | PBE | relaxed

Cell: 3.935 3.935 23.286 Å, 90.00 90.00 90.00°
Space group I4/mmm (No. 139)
Inequivalent atoms, fractional coordinates:
Ca: 0.000 0.000 0.126 (multiplicity 4)
Zn: 0.000 0.000 0.323 (multiplicity 4)
Zn: 0.000 0.500 0.000 (multiplicity 4)
Ir: 0.000 0.000 0.431 (multiplicity 4)
Ir: 0.000 0.500 0.250 (multiplicity 4)

theoretical density	10232	kg/m³
energy above the lowest structure with this stoichiometry	13	kJ/mol of formula units
energy of formation from the pure elements	-0.23	eV per atom



CaZn3Ir | PBE | relaxed

Cell: 7.078 12.590 4.726 Å, 90.00 90.00 90.00°
Space group Cmcm (No. 63)
Inequivalent atoms, fractional coordinates:
Ca: 0.000 0.098 0.250 (multiplicity 4)
Zn: 0.000 0.500 0.000 (multiplicity 4)
Zn: 0.168 0.255 0.750 (multiplicity 8)
Ir: 0.000 0.321 0.250 (multiplicity 4)

theoretical density	6758	kg/m³
energy above the lowest structure with this stoichiometry	102	kJ/mol of formula units
energy of formation from the pure elements	-0.06	eV per atom



Ca3Zn8Ir | PBE | relaxed

Cell: 5.3169 5.3169 26.4633 Å, 90.00 90.00 120.00°
Space group R3m (No. 160, hexagonal axes)
Inequivalent atoms, fractional coordinates:
Ca: 0.0000 0.0000 0.0000 (multiplicity 3)
Ca: 0.0000 0.0000 0.1283 (multiplicity 3)
Ca: 0.0000 0.0000 0.6146 (multiplicity 3)
Zn: 0.0000 0.0000 0.3114 (multiplicity 3)
Zn: 0.0000 0.0000 0.8118 (multiplicity 3)
Zn: 0.0015 0.5008 0.5575 (multiplicity 9)
Zn: 0.0070 0.5035 0.0662 (multiplicity 9)
Ir: 0.0000 0.0000 0.4980 (multiplicity 3)

theoretical density	6426	kg/m³
energy of formation from the pure elements	-0.20	eV per atom



CaZn4Ir | PBE | relaxed

Cell: 7.256 7.256 7.256 Å, 90.00 90.00 90.00°
Space group F-43m (No. 216)
Inequivalent atoms, fractional coordinates:
Ca: 0.000 0.000 0.000 (multiplicity 4)
Zn: 0.124 0.124 0.624 (multiplicity 16)
Ir: 0.250 0.250 0.250 (multiplicity 4)

theoretical density	8586	kg/m³
energy above the lowest structure with this stoichiometry	27	kJ/mol of formula units
energy of formation from the pure elements	-0.22	eV per atom



CaZnIr3 | PBE | relaxed

Cell: 4.774 4.774 4.774 Å, 90.00 90.00 90.00°
Space group Pm-3m (No. 221)
Inequivalent atoms, fractional coordinates:
Ca: 0.000 0.000 0.000 (multiplicity 1)
Zn: 0.500 0.500 0.500 (multiplicity 1)
Ir: 0.000 0.000 0.500 (multiplicity 3)

theoretical density	10408	kg/m³
energy above the lowest structure with this stoichiometry	693	kJ/mol of formula units
energy of formation from the pure elements	2.24	eV per atom



CaZn2Ir | PBE | relaxed

Cell: 3.1922 3.1922 25.6278 Å, 90.00 90.00 120.00°
Space group R3m (No. 160, hexagonal axes)
Inequivalent atoms, fractional coordinates:
Ca: 0.0000 0.0000 0.0000 (multiplicity 3)
Zn: 0.0000 0.0000 0.5101 (multiplicity 3)
Zn: 0.0000 0.0000 0.7653 (multiplicity 3)
Ir: 0.0000 0.0000 0.2480 (multiplicity 3)

theoretical density	7998	kg/m³
energy of formation from the pure elements	0.15	eV per atom



Electronic total energy list, top to bottom, in eV for the cell shown: -93.6, -60.0, -82.4, -69.1, -18.7, -38.4
DOS(E_F) list, top to bottom, in states/eV/f.u.: 3.7, 2.0, 4.3, 4.5, 8.9, 2.6